1.
The following is a DFT calculation (PBE) of crystalline MgCo4B4 at its relaxed geometry.

POSCAR file:
```
MgCo4B4
1.0
4.965 0.000 0.000
0.000 4.965 0.000
0.000 0.000 6.710
Mg Co B
2 8 8
Direct
0.250 0.750 0.250 Mg
0.750 0.250 0.750 Mg
0.005 0.750 0.606 Co
0.250 0.505 0.894 Co
0.250 0.995 0.894 Co
0.495 0.750 0.606 Co
0.505 0.250 0.394 Co
0.750 0.005 0.106 Co
0.750 0.495 0.106 Co
0.995 0.250 0.394 Co
0.072 0.250 0.097 B
0.250 0.072 0.597 B
0.250 0.428 0.597 B
0.428 0.250 0.097 B
0.572 0.750 0.903 B
0.750 0.572 0.403 B
0.750 0.928 0.403 B
0.928 0.750 0.903 B
```

Summary:
- space-group type = P4_2/nmc


2.
The following is a DFT calculation (PBE) of crystalline Mg2CoB6 at its relaxed geometry.

POSCAR file:
```
Mg2CoB6
1.0
3.369 -2.391 0.000
3.369 2.391 0.000
-0.741 0.000 4.792
Mg Co B
2 1 6
Direct
0.131 0.131 0.319 Mg
0.869 0.869 0.681 Mg
0.500 0.500 0.500 Co
0.196 0.577 0.092 B
0.252 0.252 0.801 B
0.423 0.804 0.908 B
0.577 0.196 0.092 B
0.748 0.748 0.199 B
0.804 0.423 0.908 B
```

Summary:
- space-group type = C2/m


3.
The following is a DFT calculation (PBE) of crystalline Mg2MnCo5B2 at its relaxed geometry.

POSCAR file:
```
Mg2MnCo5B2
1.0
8.794 0.000 0.000
0.000 8.794 0.000
0.000 0.000 2.781
Mg Mn Co B
4 2 10 4
Direct
0.178 0.322 0.000 Mg
0.322 0.822 0.000 Mg
0.678 0.178 0.000 Mg
0.822 0.678 0.000 Mg
0.000 0.000 0.000 Mn
0.500 0.500 0.000 Mn
0.000 0.500 0.500 Co
0.068 0.780 0.500 Co
0.220 0.068 0.500 Co
0.280 0.568 0.500 Co
0.432 0.280 0.500 Co
0.500 0.000 0.500 Co
0.568 0.720 0.500 Co
0.720 0.432 0.500 Co
0.780 0.932 0.500 Co
0.932 0.220 0.500 Co
0.122 0.622 0.000 B
0.378 0.122 0.000 B
0.622 0.878 0.000 B
0.878 0.378 0.000 B
```

Summary:
- space-group type = P4/mbm


4.
The following is a DFT calculation (PBE) of crystalline Mg2NbCo5B2 at its relaxed geometry.

POSCAR file:
```
Mg2NbCo5B2
1.0
8.847 0.000 0.000
0.000 8.847 0.000
0.000 0.000 2.915
Mg Nb Co B
4 2 10 4
Direct
0.177 0.323 0.000 Mg
0.323 0.823 0.000 Mg
0.677 0.177 0.000 Mg
0.823 0.677 0.000 Mg
0.000 0.000 0.000 Nb
0.500 0.500 0.000 Nb
0.000 0.500 0.500 Co
0.069 0.775 0.500 Co
0.225 0.069 0.500 Co
0.275 0.569 0.500 Co
0.431 0.275 0.500 Co
0.500 0.000 0.500 Co
0.569 0.725 0.500 Co
0.725 0.431 0.500 Co
0.775 0.931 0.500 Co
0.931 0.225 0.500 Co
0.117 0.617 0.000 B
0.383 0.117 0.000 B
0.617 0.883 0.000 B
0.883 0.383 0.000 B
```

Summary:
- space-group type = P4/mbm


5.
The following is a DFT calculation (PBE) of crystalline Mg2CoNi5B2 at its relaxed geometry.

POSCAR file:
```
Mg2CoNi5B2
1.0
8.691 0.000 0.000
0.000 8.691 0.000
0.000 0.000 2.902
Mg Co Ni B
4 2 10 4
Direct
0.177 0.323 0.000 Mg
0.323 0.823 0.000 Mg
0.677 0.177 0.000 Mg
0.823 0.677 0.000 Mg
0.000 0.000 0.000 Co
0.500 0.500 0.000 Co
0.000 0.500 0.500 Ni
0.069 0.778 0.500 Ni
0.222 0.069 0.500 Ni
0.278 0.569 0.500 Ni
0.431 0.278 0.500 Ni
0.500 0.000 0.500 Ni
0.569 0.722 0.500 Ni
0.722 0.431 0.500 Ni
0.778 0.931 0.500 Ni
0.931 0.222 0.500 Ni
0.122 0.622 0.000 B
0.378 0.122 0.000 B
0.622 0.878 0.000 B
0.878 0.378 0.000 B
```

Summary:
- space-group type = P4/mbm


6.
The following is a DFT calculation (PBE) of crystalline MgCo2NiB at its relaxed geometry.

POSCAR file:
```
MgCo2NiB
1.0
3.841 0.000 0.000
0.000 3.841 0.000
0.000 0.000 3.852
Mg Co Ni B
1 2 1 1
Direct
0.000 0.000 0.000 Mg
0.000 0.500 0.500 Co
0.500 0.000 0.500 Co
0.500 0.500 0.000 Ni
0.500 0.500 0.500 B
```

Summary:
- space-group type = P4/mmm


| no. | Fermi-level density of states (states/eV/cell) | ΔE_f (eV/atom) |
| --- | --- | --- |
| 1 | 7.0 | -0.315 |
| 2 | 1.8 | 0.188 |
| 3 | 17.6 | -0.173 |
| 4 | 10.3 | -0.221 |
| 5 | 17.5 | -0.223 |
| 6 | 4.4 | -0.145 |